# 1
Density functional theory data (PBE) for a relaxed structure of BaNa2I.

Cell: 4.9401 4.9401 7.1659 Å, 90.00 90.00 90.00°
Closest atoms and distances in Å follow each position.
Space group P4/mmm (No. 123)
Inequivalent atoms, fractional coordinates:
Ba (0.0000, 0.0000, 0.0000)  2 I 3.58, 8 Na 3.95
Na (0.5000, 0.5000, 0.2571)  2 Na 3.48-3.68
I (0.0000, 0.0000, 0.5000)  2 Ba 3.58, 8 Na 3.90

## Properties
E_form (uncorrected)   -0.4595 eV per atom
Theoretical density   2.945 Mg/m³
Energy above the most stable polymorph in this dataset   0.11 eV/f.u.

# 2
Density functional theory data (PBE) for a relaxed structure of BaNaI2.

Cell: 4.5137 4.5137 26.9669 Å, 90.00 90.00 120.00°
Closest atoms and distances in Å follow each position.
Space group R-3m (No. 166, hexagonal axes)
Inequivalent atoms, fractional coordinates:
Ba (0.0000, 0.0000, 0.0000)  6 I 3.65
Na (0.0000, 0.0000, 0.5000)  6 I 3.25
I (0.0000, 0.0000, 0.2384)  3 Na 3.25

## Properties
E_form (uncorrected)   -1.2485 eV per atom
Theoretical density   4.336 Mg/m³
Energy above the most stable polymorph in this dataset   0.05 eV/f.u.

# 3
Density functional theory data (PBE) for a relaxed structure of Ba5Na3I12.

Cell: 20.6761 20.6761 20.6761 Å, 90.00 90.00 90.00°
Closest atoms and distances in Å follow each position.
Space group Ia-3d (No. 230)
Inequivalent atoms, fractional coordinates:
Ba (0.0000, 0.0000, 0.0000)  6 I 3.49
Ba (0.0000, 0.2500, 0.3750)  4 I 3.34
Na (0.0000, 0.2500, 0.1250)  8 I 3.66-4.09
I (0.0261, 0.0766, 0.6480)  2 Ba 3.34-3.49, 1 Na 3.66

## Properties
E_form (uncorrected)   -1.4114 eV per atom
Theoretical density   3.424 Mg/m³

# 4
Density functional theory data (PBE) for a relaxed structure of Ba2NaI.

Cell: 9.0102 9.0102 9.0102 Å, 90.00 90.00 90.00°
Closest atoms and distances in Å follow each position.
Space group Fm-3m (No. 225)
Inequivalent atoms, fractional coordinates:
Ba (0.2500, 0.2500, 0.2500)  4 I 3.90, 4 Na 3.90
Na (0.0000, 0.0000, 0.0000)  8 Ba 3.90
I (0.0000, 0.0000, 0.5000)  8 Ba 3.90

## Properties
E_form (uncorrected)   -0.4474 eV per atom
Theoretical density   3.855 Mg/m³
Energy above the most stable polymorph in this dataset   0.56 eV/f.u.

# 5
Density functional theory data (PBE) for a relaxed structure of Ba3Na2I8.

Cell: 15.7030 9.8693 8.8835 Å, 90.00 98.46 90.00°
Closest atoms and distances in Å follow each position.
Space group C2/m (No. 12)
Inequivalent atoms, fractional coordinates:
Ba (0.0000, 0.0000, 0.0000)  6 I 3.45-3.48
Ba (0.0000, 0.2536, 0.5000)  6 I 3.43-3.52
Na (0.2099, 0.5000, 0.0618)  5 I 3.13-3.37
I (0.1159, 0.5000, 0.3486)  1 Na 3.13, 2 Ba 3.43
I (0.1202, 0.0000, 0.3578)  3 Ba 3.45-3.48
I (0.1331, 0.2332, 0.8548)  2 Na 3.33-3.37, 2 Ba 3.48-3.52

## Properties
E_form (uncorrected)   -1.5784 eV per atom
Theoretical density   3.593 Mg/m³

# 6
Density functional theory data (PBE) for a relaxed structure of Ba2NaI.

Cell: 4.5417 4.5417 33.8706 Å, 90.00 90.00 120.00°
Closest atoms and distances in Å follow each position.
Space group R3m (No. 160, hexagonal axes)
Inequivalent atoms, fractional coordinates:
Ba (0.0000, 0.0000, 0.0000)  3 I 3.63, 3 Na 4.07
Ba (0.0000, 0.0000, 0.1841)  3 I 3.65, 3 Na 4.08
Na (0.0000, 0.0000, 0.4251)  6 Ba 4.07-4.08, 6 Na 4.54
I (0.0000, 0.0000, 0.5924)  6 Ba 3.63-3.65

## Properties
E_form (uncorrected)   -0.5870 eV per atom
Theoretical density   3.496 Mg/m³
Energy above the most stable polymorph in this dataset   0.00 eV/f.u.